Below is a relaxed structure of PaMnNi2O6, with properties calculated at the GGA+U level.

a = 5.287 Å, b = 5.262 Å, c = 5.671 Å
α = 64.23°, β = 61.79°, γ = 61.77°
Each line ends with the local moment (μB).
Fractional positions:
1 Pa 0.315 0.314 0.056  0.09
2 Mn 0.816 0.819 0.544  3.92
3 Ni 0.509 0.523 0.447  1.77
4 Ni 0.019 0.014 0.944  1.76
5 O 0.622 0.238 0.236  0.08
6 O 0.203 0.897 0.273  0.03
7 O 0.891 0.635 0.264  0.02
8 O 0.431 0.727 0.746  0.04
9 O 0.732 0.091 0.748  0.03
10 O 0.123 0.403 0.756  0.09

Summary:
- final energy (eV/atom) = -7.204
- ρ (kg/m³) = 7034